(1)
Here is a geometry-optimized TlCuPtS3 structure from the Open Quantum Materials Database. Energies are from PBE.

Lattice parameters (Å, degrees): 7.4971 3.7284 9.6750 90.00 109.53 90.00
Fractional positions:
1 Cu 0.9383 0.7500 0.4092
2 Cu 0.0617 0.2500 0.5908
3 Pt 0.6641 0.2500 0.1475
4 Pt 0.3359 0.7500 0.8525
5 S 0.4460 0.7500 0.1164
6 S 0.8771 0.7500 0.1613
7 S 0.7440 0.2500 0.4154
8 S 0.2560 0.7500 0.5846
9 S 0.1229 0.2500 0.8387
10 S 0.5540 0.2500 0.8836
11 Tl 0.2625 0.2500 0.3241
12 Tl 0.7375 0.7500 0.6759

Properties
**Offset from the most stable computed form**: 0 meV/atom
**Symmetry**: P2_1/m, No. 11
**Total magnetization**: 0.00 μB/f.u.



(2)
Here is a geometry-optimized ScCuSbPt structure from the Open Quantum Materials Database. Energies are from PBE.

Lattice parameters (Å, degrees): 4.6536 4.6536 4.6536 60.00 60.00 60.00
Fractional positions:
1 Cu 0.7500 0.7500 0.7500
2 Pt 0.2500 0.2500 0.2500
3 Sb 0.0000 0.0000 0.0000
4 Sc 0.5000 0.5000 0.5000

Properties
**Offset from the most stable computed form**: 0 meV/atom
**Symmetry**: F-43m, No. 216
**Total magnetization**: 0.00 μB/f.u.



(3)
Here is a geometry-optimized ScCuSbPt structure from the Open Quantum Materials Database. Energies are from PBE.

Lattice parameters (Å, degrees): 4.6672 4.6672 4.6672 60.00 60.00 60.00
Fractional positions:
1 Cu 0.7500 0.7500 0.7500
2 Pt 0.5000 0.5000 0.5000
3 Sb 0.0000 0.0000 0.0000
4 Sc 0.2500 0.2500 0.2500

Properties
**Offset from the most stable computed form**: 91 meV/atom
**Symmetry**: F-43m, No. 216
**Total magnetization**: 0.00 μB/f.u.



(4)
Here is a geometry-optimized TaCuSbPt structure from the Open Quantum Materials Database. Energies are from PBE.

Lattice parameters (Å, degrees): 4.6186 4.6186 4.6186 60.00 60.00 60.00
Fractional positions:
1 Cu 0.7500 0.7500 0.7500
2 Pt 0.2500 0.2500 0.2500
3 Sb 0.0000 0.0000 0.0000
4 Ta 0.5000 0.5000 0.5000

Properties
**Offset from the most stable computed form**: 148 meV/atom
**Symmetry**: F-43m, No. 216
**Total magnetization**: 0.77 μB/f.u.



(5)
Here is a geometry-optimized TaCuSbPt structure from the Open Quantum Materials Database. Energies are from PBE.

Lattice parameters (Å, degrees): 4.6077 4.6077 4.6077 60.00 60.00 60.00
Fractional positions:
1 Cu 0.7500 0.7500 0.7500
2 Pt 0.5000 0.5000 0.5000
3 Sb 0.0000 0.0000 0.0000
4 Ta 0.2500 0.2500 0.2500

Properties
**Offset from the most stable computed form**: 0 meV/atom
**Symmetry**: F-43m, No. 216
**Total magnetization**: 0.04 μB/f.u.



(6)
Here is a geometry-optimized CuTcSbPt structure from the Open Quantum Materials Database. Energies are from PBE.

Lattice parameters (Å, degrees): 4.4910 4.4910 4.4910 60.00 60.00 60.00
Fractional positions:
1 Cu 0.7500 0.7500 0.7500
2 Pt 0.5000 0.5000 0.5000
3 Sb 0.0000 0.0000 0.0000
4 Tc 0.2500 0.2500 0.2500

Properties
**Offset from the most stable computed form**: 0 meV/atom
**Symmetry**: F-43m, No. 216
**Total magnetization**: 0.00 μB/f.u.



(7)
Here is a geometry-optimized ZnCuSbPt structure from the Open Quantum Materials Database. Energies are from PBE.

Lattice parameters (Å, degrees): 4.5573 4.5573 4.5573 60.00 60.00 60.00
Fractional positions:
1 Cu 0.7500 0.7500 0.7500
2 Pt 0.2500 0.2500 0.2500
3 Sb 0.0000 0.0000 0.0000
4 Zn 0.5000 0.5000 0.5000

Properties
**Offset from the most stable computed form**: 0 meV/atom
**Symmetry**: F-43m, No. 216
**Total magnetization**: 0.00 μB/f.u.



(8)
Here is a geometry-optimized ZrCuSbPt structure from the Open Quantum Materials Database. Energies are from PBE.

Lattice parameters (Å, degrees): 4.6988 4.6988 4.6988 60.00 60.00 60.00
Fractional positions:
1 Cu 0.7500 0.7500 0.7500
2 Pt 0.2500 0.2500 0.2500
3 Sb 0.0000 0.0000 0.0000
4 Zr 0.5000 0.5000 0.5000

Properties
**Offset from the most stable computed form**: 0 meV/atom
**Symmetry**: F-43m, No. 216
**Total magnetization**: 0.00 μB/f.u.



(9)
Here is a geometry-optimized ZrCuSbPt structure from the Open Quantum Materials Database. Energies are from PBE.

Lattice parameters (Å, degrees): 4.7074 4.7074 4.7074 60.00 60.00 60.00
Fractional positions:
1 Cu 0.7500 0.7500 0.7500
2 Pt 0.5000 0.5000 0.5000
3 Sb 0.0000 0.0000 0.0000
4 Zr 0.2500 0.2500 0.2500

Properties
**Offset from the most stable computed form**: 27 meV/atom
**Symmetry**: F-43m, No. 216
**Total magnetization**: 0.00 μB/f.u.



(10)
Here is a geometry-optimized Sc4Cu2Pt structure from the Open Quantum Materials Database. Energies are from PBE.

Lattice parameters (Å, degrees): 5.5993 5.5993 5.5993 105.13 105.13 118.55
Site moments in Bohr magnetons follow the coordinates.
Fractional positions:
1 Cu 0.7500 0.2500 0.5000  0.01
2 Cu 0.2500 0.7500 0.5000  0.01
3 Pt 0.0000 0.0000 0.0000  0.01
4 Sc 0.7279 0.2721 0.0000  0.13
5 Sc 0.2721 0.7279 0.0000  0.13
6 Sc 0.7279 0.7279 0.4558  0.13
7 Sc 0.2721 0.2721 0.5442  0.13

Properties
**Symmetry**: I4/mmm, No. 139
**Energy relative to the elements**: -184 meV per atom
**Total magnetization**: 0.73 μB/f.u.



(11)
Here is a geometry-optimized Sc2CuPt structure from the Open Quantum Materials Database. Energies are from PBE.

Lattice parameters (Å, degrees): 6.1986 6.7030 6.6512 90.00 90.00 90.00
Fractional positions:
1 Cu 0.0011 0.7500 0.0005
2 Cu 0.5011 0.2500 0.4995
3 Cu 0.4989 0.7500 0.5005
4 Cu 0.9989 0.2500 0.9995
5 Pt 0.5001 0.2500 0.0009
6 Pt 0.0000 0.7500 0.4991
7 Pt 0.0000 0.2500 0.5009
8 Pt 0.4999 0.7500 0.9991
9 Sc 0.2499 0.0005 0.2499
10 Sc 0.2499 0.4995 0.2499
11 Sc 0.7499 0.5005 0.2501
12 Sc 0.7499 0.9995 0.2501
13 Sc 0.2501 0.0005 0.7499
14 Sc 0.2501 0.4995 0.7499
15 Sc 0.7501 0.5005 0.7501
16 Sc 0.7501 0.9995 0.7501

Properties
**Symmetry**: Pnma, No. 62
**Energy relative to the elements**: -773 meV per atom
**Total magnetization**: 0.01 μB/f.u.



(12)
Here is a geometry-optimized Sc2CuPt structure from the Open Quantum Materials Database. Energies are from PBE.

Lattice parameters (Å, degrees): 6.5450 4.6288 9.2611 90.00 90.00 90.00
Fractional positions:
1 Cu 0.7498 0.2500 0.1249
2 Cu 0.2498 0.7500 0.3751
3 Cu 0.7502 0.2500 0.6249
4 Cu 0.2502 0.7500 0.8751
5 Pt 0.2501 0.2500 0.1251
6 Pt 0.7501 0.7500 0.3749
7 Pt 0.2499 0.2500 0.6251
8 Pt 0.7499 0.7500 0.8749
9 Sc 0.0000 0.7500 0.1249
10 Sc 0.5000 0.7500 0.1250
11 Sc 0.0000 0.2500 0.3750
12 Sc 0.5000 0.2500 0.3751
13 Sc 0.5000 0.7500 0.6249
14 Sc 0.0000 0.7500 0.6250
15 Sc 0.5000 0.2500 0.8750
16 Sc 0.0000 0.2500 0.8751

Properties
**Symmetry**: Fm-3m, No. 225
**Energy relative to the elements**: -805 meV per atom
**Total magnetization**: 0.00 μB/f.u.



(13)
Here is a geometry-optimized Sc2CuPt structure from the Open Quantum Materials Database. Energies are from PBE.

Lattice parameters (Å, degrees): 4.6285 6.5465 13.8884 90.00 90.00 90.00
Fractional positions:
1 Cu 0.0000 0.5000 0.0000
2 Cu 0.5003 0.0000 0.1666
3 Cu 0.0003 0.5000 0.3334
4 Cu 0.5000 0.0000 0.5000
5 Cu 0.9997 0.5000 0.6666
6 Cu 0.4997 0.0000 0.8334
7 Pt 0.0000 0.0000 0.0000
8 Pt 0.5003 0.5000 0.1667
9 Pt 0.0003 0.0000 0.3333
10 Pt 0.5000 0.5000 0.5000
11 Pt 0.9997 0.0000 0.6667
12 Pt 0.4997 0.5000 0.8333
13 Sc 0.5000 0.2500 0.0000
14 Sc 0.5000 0.7500 0.0000
15 Sc 0.0002 0.2500 0.1667
16 Sc 0.0002 0.7500 0.1667
17 Sc 0.5002 0.2500 0.3333
18 Sc 0.5002 0.7500 0.3333
19 Sc 0.0000 0.2500 0.5000
20 Sc 0.0000 0.7500 0.5000
21 Sc 0.4998 0.2500 0.6667
22 Sc 0.4998 0.7500 0.6667
23 Sc 0.9998 0.2500 0.8333
24 Sc 0.9998 0.7500 0.8333

Properties
**Symmetry**: Fm-3m, No. 225
**Energy relative to the elements**: -805 meV per atom
**Total magnetization**: 0.00 μB/f.u.



(14)
Here is a geometry-optimized Sc2CuPt structure from the Open Quantum Materials Database. Energies are from PBE.

Lattice parameters (Å, degrees): 4.5941 4.5941 3.3146 90.00 90.00 90.00
Fractional positions:
1 Cu 0.5000 0.5000 0.0000
2 Pt 0.0000 0.0000 0.0000
3 Sc 0.5000 0.0000 0.5000
4 Sc 0.0000 0.5000 0.5000

Properties
**Symmetry**: P4/mmm, No. 123
**Energy relative to the elements**: -787 meV per atom
**Total magnetization**: 0.01 μB/f.u.



(15)
Here is a geometry-optimized ScCu2Pt structure from the Open Quantum Materials Database. Energies are from PBE.

Lattice parameters (Å, degrees): 4.5384 5.3529 4.8767 90.00 90.00 90.00
Fractional positions:
1 Cu 0.5000 0.2468 0.3498
2 Cu 0.5000 0.7532 0.3498
3 Cu 0.0000 0.2532 0.6502
4 Cu 0.0000 0.7468 0.6502
5 Pt 0.0000 0.5000 0.1812
6 Pt 0.5000 0.0000 0.8188
7 Sc 0.0000 0.0000 0.1407
8 Sc 0.5000 0.5000 0.8593

Properties
**Symmetry**: Pmmn, No. 59
**Energy relative to the elements**: -591 meV per atom
**Total magnetization**: 0.00 μB/f.u.



(16)
Here is a geometry-optimized TlCuTePtSe2 structure from the Open Quantum Materials Database. Energies are from PBE.

Lattice parameters (Å, degrees): 7.2033 7.2033 11.0342 90.00 90.00 149.71
Fractional positions:
1 Cu 0.3909 0.6091 0.2500
2 Cu 0.6091 0.3909 0.7500
3 Pt 0.0000 0.0000 0.0000
4 Pt 0.0000 0.0000 0.5000
5 Se 0.3803 0.6197 0.0277
6 Se 0.3803 0.6197 0.4723
7 Se 0.6197 0.3803 0.5277
8 Se 0.6197 0.3803 0.9723
9 Te 0.0310 0.9690 0.2500
10 Te 0.9690 0.0310 0.7500
11 Tl 0.7312 0.2688 0.2500
12 Tl 0.2688 0.7312 0.7500

Properties
**Raw total energy**: -47.3 eV/cell
**Symmetry**: Cmcm, No. 63
**Total magnetization**: 0.00 μB/f.u.



(17)
Here is a geometry-optimized TlCuPtSe3 structure from the Open Quantum Materials Database. Energies are from PBE.

Lattice parameters (Å, degrees): 9.7703 3.9384 14.7273 90.00 90.00 90.00
Fractional positions:
1 Cu 0.2296 0.7500 0.1636
2 Cu 0.7296 0.7500 0.3364
3 Cu 0.2704 0.2500 0.6636
4 Cu 0.7704 0.2500 0.8364
5 Pt 0.6475 0.7500 0.0476
6 Pt 0.1475 0.7500 0.4524
7 Pt 0.8525 0.2500 0.5476
8 Pt 0.3525 0.2500 0.9524
9 Se 0.2064 0.7500 0.0075
10 Se 0.4951 0.2500 0.0955
11 Se 0.7992 0.7500 0.1879
12 Se 0.2992 0.7500 0.3121
13 Se 0.9951 0.2500 0.4045
14 Se 0.7064 0.7500 0.4925
15 Se 0.2936 0.2500 0.5075
16 Se 0.0049 0.7500 0.5955
17 Se 0.7008 0.2500 0.6879
18 Se 0.2008 0.2500 0.8121
19 Se 0.5049 0.7500 0.9045
20 Se 0.7936 0.2500 0.9925
21 Tl 0.0194 0.2500 0.1747
22 Tl 0.5194 0.2500 0.3253
23 Tl 0.4806 0.7500 0.6747
24 Tl 0.9806 0.7500 0.8253

Properties
**Offset from the most stable computed form**: 55 meV/atom
**Symmetry**: Pnma, No. 62
**Total magnetization**: 0.00 μB/f.u.



(18)
Here is a geometry-optimized TlCuPtSe3 structure from the Open Quantum Materials Database. Energies are from PBE.

Lattice parameters (Å, degrees): 13.3969 3.8885 10.7906 90.00 90.00 90.00
Fractional positions:
1 Cu 0.7010 0.2500 0.2471
2 Cu 0.2010 0.2500 0.2529
3 Cu 0.7990 0.7500 0.7471
4 Cu 0.2990 0.7500 0.7529
5 Pt 0.4580 0.7500 0.1403
6 Pt 0.9580 0.7500 0.3597
7 Pt 0.0420 0.2500 0.6403
8 Pt 0.5420 0.2500 0.8597
9 Se 0.3950 0.2500 0.0066
10 Se 0.8007 0.7500 0.2282
11 Se 0.0269 0.2500 0.2317
12 Se 0.5269 0.2500 0.2683
13 Se 0.3007 0.7500 0.2718
14 Se 0.8950 0.2500 0.4934
15 Se 0.1050 0.7500 0.5066
16 Se 0.6993 0.2500 0.7282
17 Se 0.4731 0.7500 0.7317
18 Se 0.9731 0.7500 0.7683
19 Se 0.1993 0.2500 0.7718
20 Se 0.6050 0.7500 0.9934
21 Tl 0.1501 0.7500 0.0038
22 Tl 0.6501 0.7500 0.4962
23 Tl 0.3499 0.2500 0.5038
24 Tl 0.8499 0.2500 0.9962

Properties
**Offset from the most stable computed form**: 0 meV/atom
**Symmetry**: Pnma, No. 62
**Total magnetization**: 0.00 μB/f.u.



(19)
Here is a geometry-optimized TlCuPtSe3 structure from the Open Quantum Materials Database. Energies are from PBE.

Lattice parameters (Å, degrees): 7.1160 7.1160 10.4779 90.00 90.00 31.25
Fractional positions:
1 Cu 0.5602 0.5602 0.2500
2 Cu 0.4398 0.4398 0.7500
3 Pt 0.0000 0.0000 0.0000
4 Pt 0.0000 0.0000 0.5000
5 Se 0.6189 0.6189 0.0303
6 Se 0.9498 0.9498 0.2500
7 Se 0.6189 0.6189 0.4697
8 Se 0.3811 0.3811 0.5303
9 Se 0.0502 0.0502 0.7500
10 Se 0.3811 0.3811 0.9697
11 Tl 0.2513 0.2513 0.2500
12 Tl 0.7487 0.7487 0.7500

Properties
**Offset from the most stable computed form**: 62 meV/atom
**Symmetry**: Cmcm, No. 63
**Total magnetization**: 0.02 μB/f.u.



(20)
Here is a geometry-optimized TlCuPtSe3 structure from the Open Quantum Materials Database. Energies are from PBE.

Lattice parameters (Å, degrees): 7.7384 3.8924 9.9478 90.00 108.30 90.00
Fractional positions:
1 Cu 0.4396 0.7500 0.4141
2 Cu 0.5604 0.2500 0.5859
3 Pt 0.1659 0.2500 0.1474
4 Pt 0.8341 0.7500 0.8526
5 Se 0.9444 0.7500 0.1202
6 Se 0.3842 0.7500 0.1582
7 Se 0.2384 0.2500 0.4195
8 Se 0.7616 0.7500 0.5805
9 Se 0.6158 0.2500 0.8418
10 Se 0.0556 0.2500 0.8798
11 Tl 0.7523 0.2500 0.3200
12 Tl 0.2477 0.7500 0.6800

Properties
**Offset from the most stable computed form**: 9 meV/atom
**Symmetry**: P2_1/m, No. 11
**Total magnetization**: 0.01 μB/f.u.



(21)
Here is a geometry-optimized TlCuPtSe3 structure from the Open Quantum Materials Database. Energies are from PBE.

Lattice parameters (Å, degrees): 10.8667 3.8605 12.5628 90.00 90.00 90.00
Fractional positions:
1 Cu 0.2505 0.2500 0.1464
2 Cu 0.7505 0.2500 0.3536
3 Cu 0.2495 0.7500 0.6464
4 Cu 0.7495 0.7500 0.8536
5 Pt 0.5008 0.7500 0.2496
6 Pt 0.0008 0.7500 0.2504
7 Pt 0.9992 0.2500 0.7496
8 Pt 0.4992 0.2500 0.7504
9 Se 0.4735 0.2500 0.1204
10 Se 0.0275 0.2500 0.1212
11 Se 0.7509 0.7500 0.2286
12 Se 0.2509 0.7500 0.2714
13 Se 0.5275 0.2500 0.3788
14 Se 0.9735 0.2500 0.3796
15 Se 0.0265 0.7500 0.6204
16 Se 0.4725 0.7500 0.6212
17 Se 0.7491 0.2500 0.7286
18 Se 0.2491 0.2500 0.7714
19 Se 0.9725 0.7500 0.8788
20 Se 0.5265 0.7500 0.8796
21 Tl 0.7502 0.2500 0.0296
22 Tl 0.2502 0.2500 0.4704
23 Tl 0.7498 0.7500 0.5296
24 Tl 0.2498 0.7500 0.9704

Properties
**Offset from the most stable computed form**: 50 meV/atom
**Symmetry**: Pnma, No. 62
**Total magnetization**: 0.01 μB/f.u.